Record 1
First-principles (PBE-GGA) data for a relaxed structure of LaAlIr2, as listed in Alexandria via LeMat-Bulk.

Spin magnetization (μB/cell): 0.0
Energy of formation (eV per atom): -0.0026
Crystal system: cubic
DOS at the Fermi energy (states/eV/atom): 0.69

Geometry as extended XYZ:
```
4
Lattice="4.739 0.000 0.000 2.370 4.104 0.000 2.370 1.368 3.870" Properties=species:S:1:pos:R:3 pbc="T T T"
Al 4.739 2.736 1.935
Ir 0.000 0.000 0.000
Ir 2.370 1.368 0.967
La 7.109 4.104 2.902
```

***

Record 2
First-principles (PBE-GGA) data for a relaxed structure of PmCuNiGe, as listed in Alexandria via LeMat-Bulk.

Spin magnetization (μB/cell): 0.0
Energy of formation (eV per atom): -0.2992
Crystal system: cubic
DOS at the Fermi energy (states/eV/atom): 0.51

Geometry as extended XYZ:
```
4
Lattice="-1.389 4.317 -0.557 -4.462 0.983 0.011 -1.827 2.283 3.511" Properties=species:S:1:pos:R:3 pbc="T T T"
Ni -3.839 3.791 1.483
Ge -1.920 1.896 0.741
Pm -5.759 5.687 2.224
Cu 0.000 0.000 0.000
```

***

Record 3
First-principles (PBE-GGA) data for a relaxed structure of Nb2VSnH, as listed in Alexandria via LeMat-Bulk.

Spin magnetization (μB/cell): 0.0
E (eV per atom): -7.47
Crystal system: tetragonal
DOS at the Fermi energy (states/eV/atom): 0.40

Geometry as extended XYZ:
```
5
Lattice="4.195 0.000 0.000 0.000 4.195 0.000 0.000 0.000 4.135" Properties=species:S:1:pos:R:3 pbc="T T T"
H 0.000 0.000 0.000
Nb 0.000 2.098 0.000
Nb 2.098 0.000 0.000
V 0.000 0.000 2.067
Sn 2.098 2.098 2.067
```

***

Record 4
First-principles (PBE-GGA) data for a relaxed structure of LaTcAg2, as listed in Alexandria via LeMat-Bulk.

Energy above the most stable polymorph in this dataset (meV/atom): 212
Spin magnetization (μB/cell): 1.6
Energy of formation (eV per atom): 0.4247
Crystal system: cubic
DOS at the Fermi energy (states/eV/atom): 1.02

Geometry as extended XYZ:
```
4
Lattice="-3.079 -3.723 -1.171 -3.774 -1.150 3.026 -4.676 0.980 -1.375" Properties=species:S:1:pos:R:3 pbc="T T T"
La -5.765 -1.946 0.240
Ag -2.882 -0.973 0.120
Ag -8.647 -2.919 0.360
Tc 0.000 0.000 0.000
```